Arrangement a

AlZn5 PBE-GGA relaxed; space-group type = P6/mmm (191)
1.0
5.147 0.000 0.000
-2.573 4.457 0.000
0.000 0.000 4.294
Al Zn
1 5
direct
0.000 0.000 0.000
0.000 0.500 0.500
0.333 0.667 0.000
0.500 0.000 0.500
0.500 0.500 0.500
0.667 0.333 0.000

---

Arrangement b

AlZn5 PBE-GGA relaxed; space-group type = P-62m (189)
1.0
4.737 0.000 0.000
-2.368 4.102 0.000
0.000 0.000 4.676
Al Zn
1 5
direct
0.000 0.000 0.000
0.000 0.335 0.500
0.333 0.667 0.000
0.335 0.000 0.500
0.665 0.665 0.500
0.667 0.333 0.000

---

Most stable of them? arrangement b.

---

Arrangement a

B4AsAu PBE-GGA relaxed; space-group type = P6/mmm (191)
1.0
3.011 0.000 0.000
-1.506 2.608 0.000
0.000 0.000 8.332
B As Au
4 1 1
direct
0.333 0.667 0.241
0.333 0.667 0.759
0.667 0.333 0.241
0.667 0.333 0.759
0.000 0.000 0.000
0.000 0.000 0.500

---

Arrangement b

B4AsAu PBE-GGA relaxed; space-group type = Immm (71)
1.0
3.042 0.000 0.000
0.000 5.198 0.000
0.000 0.000 8.271
B As Au
8 2 2
direct
0.000 0.170 0.243
0.000 0.170 0.757
0.000 0.830 0.243
0.000 0.830 0.757
0.500 0.330 0.257
0.500 0.330 0.743
0.500 0.670 0.257
0.500 0.670 0.743
0.000 0.500 0.500
0.500 0.000 0.000
0.000 0.500 0.000
0.500 0.000 0.500

---

Most stable of them? arrangement a.

---

Arrangement a

BAsAu PBE-GGA relaxed; space-group type = F-43m (216)
1.0
5.901 0.000 0.000
0.000 5.901 0.000
0.000 0.000 5.901
B As Au
4 4 4
direct
0.000 0.000 0.000
0.000 0.500 0.500
0.500 0.000 0.500
0.500 0.500 0.000
0.000 0.000 0.500
0.000 0.500 0.000
0.500 0.000 0.000
0.500 0.500 0.500
0.250 0.250 0.750
0.250 0.750 0.250
0.750 0.250 0.250
0.750 0.750 0.750

---

Arrangement b

BAsAu PBE-GGA relaxed; space-group type = F-43m (216)
1.0
5.953 0.000 0.000
0.000 5.953 0.000
0.000 0.000 5.953
B As Au
4 4 4
direct
0.000 0.000 0.000
0.000 0.500 0.500
0.500 0.000 0.500
0.500 0.500 0.000
0.250 0.250 0.750
0.250 0.750 0.250
0.750 0.250 0.250
0.750 0.750 0.750
0.000 0.000 0.500
0.000 0.500 0.000
0.500 0.000 0.000
0.500 0.500 0.500

---

Most stable of them? arrangement a.

---

Arrangement a

BAsAuO PBE-GGA relaxed; space-group type = Pmc2_1 (26)
1.0
3.257 0.000 0.000
0.000 8.453 0.000
0.000 0.000 4.387
B As Au O
2 2 2 2
direct
0.000 0.080 0.000
0.000 0.920 0.500
0.500 0.254 0.927
0.500 0.746 0.427
0.500 0.400 0.428
0.500 0.600 0.928
0.000 0.051 0.311
0.000 0.949 0.811

---

Arrangement b

BAsAuO PBE-GGA relaxed; space-group type = P4/nmm (129)
1.0
3.675 0.000 0.000
0.000 3.675 0.000
0.000 0.000 8.978
B As Au O
2 2 2 2
direct
0.250 0.250 0.053
0.750 0.750 0.947
0.250 0.250 0.286
0.750 0.750 0.714
0.250 0.750 0.500
0.750 0.250 0.500
0.250 0.750 0.000
0.750 0.250 0.000

---

Arrangement c

BAsAuO PBE-GGA relaxed; space-group type = P4/nmm (129)
1.0
4.168 0.000 0.000
0.000 4.168 0.000
0.000 0.000 7.206
B As Au O
2 2 2 2
direct
0.250 0.750 0.000
0.750 0.250 0.000
0.250 0.250 0.104
0.750 0.750 0.896
0.250 0.250 0.575
0.750 0.750 0.425
0.250 0.750 0.500
0.750 0.250 0.500

---

Most stable of them? arrangement a.